Material: Re2HgSe
Method: DFT, PBE-GGA
State: optimized geometry

Values from the calculation:
Uncorrected energy   -0.229 hartree per atom
Total moment   0.00 μB/atom
Energy relative to the elements, uncorrected   0.95 eV per atom

Lattice parameters (Å, degrees): 5.4775 5.4775 5.4775 148.67 126.03 63.74
Sites, in units of the cell vectors:
Se 0.7500 0.2500 0.5000
Hg 0.2500 0.7500 0.5000
Re 0.9674 0.9674 0.0000
Re 0.5326 0.5326 0.0000

=====

Material: Ho3Cd3Rh2
Method: DFT, PBE-GGA
State: optimized geometry

Values from the calculation:
Uncorrected energy   -0.165 hartree per atom
Energy of formation from the pure elements   -0.59 eV per atom
Total moment   0.00 μB/atom

Lattice parameters (Å, degrees): 3.6000 7.6239 7.6239 120.00 90.00 90.00
Sites, in units of the cell vectors:
Cd 0.0000 0.2301 0.0000
Cd 0.0000 0.7699 0.7699
Cd 0.0000 0.0000 0.2301
Rh 0.0000 0.6667 0.3333
Rh 0.0000 0.3333 0.6667
Ho 0.5000 0.0000 0.5741
Ho 0.5000 0.4259 0.4259
Ho 0.5000 0.5741 0.0000

=====

Material: HfCo2Ru2
Method: DFT, PBE-GGA
State: optimized geometry

Values from the calculation:
Uncorrected energy   -0.310 hartree per atom
Energy of formation from the pure elements   0.11 eV per atom
Total moment   0.34 μB/atom

Lattice parameters (Å, degrees): 3.8063 3.8063 5.8899 71.15 71.15 90.00
Site moments in Bohr magnetons follow the coordinates.
Sites, in units of the cell vectors:
Co 0.7500 0.2500 0.5000  0.79
Co 0.2500 0.7500 0.5000  0.79
Ru 0.6093 0.6093 0.7814  0.08
Ru 0.3907 0.3907 0.2186  0.08
Hf 0.0000 0.0000 0.0000  -0.01

=====

Material: ZnGeSeO
Method: DFT, PBE-GGA
State: optimized geometry

Values from the calculation:
Uncorrected energy   -0.156 hartree per atom
Total moment   0.00 μB/atom
Energy relative to the elements, uncorrected   -0.66 eV per atom

Lattice parameters (Å, degrees): 4.0328 3.0935 13.1561 90.00 107.61 90.00
Sites, in units of the cell vectors:
Se 0.4235 0.0000 0.7780
Se 0.4235 0.5000 0.2780
Ge 0.5898 0.0000 0.5937
Ge 0.5898 0.5000 0.0937
Zn 0.0177 0.5000 0.3942
Zn 0.0177 0.0000 0.8942
O 0.1573 0.0000 0.4910
O 0.1573 0.5000 0.9910

=====

Material: PbClF2
Method: DFT, PBE-GGA
State: optimized geometry

Values from the calculation:
Uncorrected energy   -0.132 hartree per atom
Total moment   0.25 μB/atom
Energy relative to the elements, uncorrected   -1.27 eV per atom

Lattice parameters (Å, degrees): 4.5575 4.5575 4.5575 60.00 60.00 60.00
Site moments in Bohr magnetons follow the coordinates.
Sites, in units of the cell vectors:
F 0.2500 0.2500 0.2500  0.18
F 0.7500 0.7500 0.7500  0.18
Pb 0.5000 0.5000 0.5000  0.02
Cl 0.0000 0.0000 0.0000  0.48

=====

Material: TcAg3
Method: DFT, PBE-GGA
State: optimized geometry

Values from the calculation:
Uncorrected energy   -0.161 hartree per atom
Energy of formation from the pure elements   0.36 eV per atom
Total moment   0.00 μB/atom

Lattice parameters (Å, degrees): 2.7346 2.7346 8.9645 90.00 90.00 90.00
Sites, in units of the cell vectors:
Ag 0.0000 0.0000 0.9954
Ag 0.5000 0.5000 0.2500
Ag 0.0000 0.0000 0.5046
Tc 0.5000 0.5000 0.7500

=====

Material: CoPIr2
Method: DFT, PBE-GGA
State: optimized geometry

Values from the calculation:
Uncorrected energy   -0.275 hartree per atom
Energy of formation from the pure elements   0.09 eV per atom
Total moment   0.09 μB/atom

Lattice parameters (Å, degrees): 4.3622 4.3622 2.7901 90.00 90.00 102.77
Site moments in Bohr magnetons follow the coordinates.
Sites, in units of the cell vectors:
Co 0.0000 0.5000 0.5000  0.37
P 0.5000 0.0000 0.5000  -0.01
Ir 0.5000 0.5000 0.0000  0.01
Ir 0.0000 0.0000 0.0000  0.01

=====

Material: Nd5Tl2Ga
Method: DFT, PBE-GGA
State: optimized geometry

Values from the calculation:
Uncorrected energy   -0.158 hartree per atom
Energy of formation from the pure elements   -0.36 eV per atom
Total moment   0.00 μB/atom

Lattice parameters (Å, degrees): 5.2409 6.9481 13.3138 90.00 90.00 90.00
Sites, in units of the cell vectors:
Nd 0.5000 0.3338 0.5910
Nd 0.0000 0.8687 0.2185
Nd 0.0000 0.3687 0.2815
Nd 0.5000 0.6662 0.4090
Nd 0.0000 0.5000 0.0000
Nd 0.5000 0.8338 0.9090
Nd 0.0000 0.0000 0.5000
Nd 0.0000 0.1313 0.7815
Nd 0.5000 0.1662 0.0910
Nd 0.0000 0.6313 0.7185
Tl 0.5000 0.8808 0.6548
Tl 0.5000 0.1192 0.3452
Tl 0.5000 0.3808 0.8452
Tl 0.5000 0.6192 0.1548
Ga 0.0000 0.5000 0.5000
Ga 0.0000 0.0000 0.0000